Computed, not measured: B3RhI at its PBEsol-relaxed geometry at the meta-GGA SCAN level of DFT.

Cell: 4.2747 4.2747 4.2747 Å, 90.00 90.00 90.00°
Fractional coordinates of all 5 atoms:
B (0.5000, 0.0000, 0.0000)
B (0.0000, 0.0000, 0.5000)
B (0.0000, 0.5000, 0.0000)
I (0.0000, 0.0000, 0.0000)
Rh (0.5000, 0.5000, 0.5000)

Results
calculated total energy: -15.58 eV/atom
space group: Pm-3m, No. 221


Computed, not measured: B2RhI at its PBEsol-relaxed geometry at the meta-GGA SCAN level of DFT.

Cell: 4.1538 4.1538 4.1538 Å, 60.00 60.00 60.00°
Fractional coordinates of all 4 atoms:
B (0.2500, 0.2500, 0.2500)
B (0.7500, 0.7500, 0.7500)
I (0.5000, 0.5000, 0.5000)
Rh (0.0000, 0.0000, 0.0000)

Results
calculated total energy: -19.46 eV/atom
space group: Fm-3m, No. 225


Computed, not measured: BRhI2 at its PBEsol-relaxed geometry at the meta-GGA SCAN level of DFT.

Cell: 5.6826 5.6826 6.8915 Å, 114.35 114.35 90.00°
Fractional coordinates of all 8 atoms:
I (0.8479, 0.3750, 0.2500)
I (0.1250, 0.1521, 0.7500)
I (0.6250, 0.5979, 0.7500)
I (0.4021, 0.8750, 0.2500)
B (0.7500, 0.2500, 0.5000)
B (0.5000, 0.5000, 0.0000)
Rh (0.2500, 0.7500, 0.5000)
Rh (0.0000, 0.0000, 0.0000)

Results
calculated total energy: -27.64 eV/atom
space group: I-42d, No. 122